1.
Entry from Alexandria: an optimized crystal structure of LuPbAu2 (GGA-PBE).

## Properties
ρ (g cm⁻³): 14.40
SG: No. 123
Formation energy from the elements (eV per atom): -0.466
Spin magnetization (μB per atom): 0.00

POSCAR file:
```
LuPbAu2
1.0
4.0769 0.0000 0.0000
0.0000 4.6854 0.0000
0.0000 0.0000 4.6854
Au Pb Lu
2 1 1
Cartesian
0.0000 2.3427 0.0000
0.0000 0.0000 2.3427
2.0385 0.0000 0.0000
2.0385 2.3427 2.3427
```

***

2.
Entry from Alexandria: an optimized crystal structure of La3Nd3PuSe8 (GGA-PBE).

## Properties
ρ (g cm⁻³): 6.57
SG: No. 166
ΔE_f (raw) (meV/atom): -1886
Spin magnetization (μB per atom): 0.41

POSCAR file:
```
La3Nd3PuSe8
1.0
8.4790 0.0000 0.0000
-4.2395 7.3431 -0.0256
0.0000 -4.8710 7.0236
Nd La Se Pu
3 3 8 1
Cartesian
2.1197 1.2360 3.4990
4.2395 -2.4355 3.5118
-2.1197 1.2360 3.4990
2.1197 3.6715 -0.0128
-2.1197 3.6715 -0.0128
0.0000 0.0000 0.0000
2.1281 3.6945 5.2035
0.0000 2.4539 1.7756
2.1114 -1.2224 1.7945
-2.1281 3.6945 5.2035
6.3676 -1.2224 1.7945
4.2395 0.0182 5.2224
4.2395 2.4635 1.7816
0.0000 0.0086 5.2164
0.0000 -2.4355 3.5118
```

***

3.
Entry from Alexandria: an optimized crystal structure of Bi8Pt5I3 (GGA-PBE).

## Properties
ρ (g cm⁻³): 10.62
SG: No. 12
ΔE_f (raw) (meV/atom): -305
Spin magnetization (μB per atom): 0.00

POSCAR file:
```
Bi8Pt5I3
1.0
-5.4435 6.0639 4.9825
-7.2351 6.0759 1.4018
-10.9942 -6.1597 5.4802
Bi Pt I
8 5 3
Cartesian
-14.6781 1.0184 7.3475
-16.6217 7.9578 8.3432
-11.5974 6.5360 5.8246
-19.3610 2.2687 9.6947
-8.9946 4.9618 4.5170
-7.0511 -1.9777 3.5213
-12.0753 -0.5558 6.0399
-4.3117 3.7115 2.1697
-3.3876 1.0829 1.6986
-19.2038 7.4213 9.6333
-4.4689 -1.4411 2.2312
-20.2851 4.8972 10.1659
-11.8364 2.9901 5.9322
0.0000 0.0000 0.0000
-7.6246 1.8051 3.8210
-16.0481 4.1751 8.0435
```

***

Number 1: N(E_F) 0.569 states/eV per atom. Number 2: N(E_F) 1.170 states/eV per atom. Number 3: N(E_F) 0.349 states/eV per atom.